{
  "formula": "Cr2FeOs",
  "functional": "meta-GGA SCAN",
  "state": "PBEsol geometry",
  "formation_enthalpy_0k_ev_per_atom": 0.085,
  "total_energy_ev_per_cell": -126.44,
  "lattice_angstrom": [[-0.700, -2.221, 2.782], [3.090, -1.787, -0.649], [0.547, 4.216, 1.138]],
  "species": ["Cr", "Cr", "Os", "Fe"],
  "fractional_positions": [[0.750, 0.250, 0.500], [0.250, 0.750, 0.500], [0.000, 0.000, 0.000], [0.500, 0.500, 0.000]]
}